1.
Below is a relaxed structure of PmPr6Ho3, with properties calculated at the PBE level.

**Raw total energy**: -0.16822 Ha/atom
**ΔE_f**: 139 meV per atom
**Space-group type**: Cmc2_1

Cell lengths 6.437, 11.178, 11.178 Å; angles 120.70, 90.00, 90.00 degrees
Element x y z (fractional)
Ho1 0.462 0.943 0.710
Ho2 0.962 0.057 0.290
Ho3 0.589 0.616 0.384
Ho4 0.962 0.710 0.943
Ho5 0.089 0.384 0.616
Ho6 0.462 0.290 0.057
Pr1 0.051 0.370 0.291
Pr2 0.870 0.941 0.524
Pr3 0.652 0.282 0.718
Pr4 0.368 0.965 0.035
Pr5 0.370 0.524 0.941
Pr6 0.051 0.709 0.630
Pr7 0.370 0.059 0.476
Pr8 0.152 0.718 0.282
Pr9 0.868 0.035 0.965
Pr10 0.551 0.630 0.709
Pr11 0.551 0.291 0.370
Pr12 0.870 0.476 0.059
Pm1 0.609 0.807 0.193
Pm2 0.109 0.193 0.807

=====

2.
Below is a relaxed structure of Pm3Pr2Ho3, with properties calculated at the PBE level.

**Raw total energy**: -0.16770 Ha/atom
**ΔE_f**: 130 meV per atom
**Space-group type**: Cmcm

Cell lengths 5.642, 6.632, 16.135 Å; angles 90.00, 90.00, 115.21 degrees
Element x y z (fractional)
Pr1 0.780 0.560 0.628
Pr2 0.220 0.440 0.128
Pr3 0.780 0.560 0.872
Pr4 0.220 0.440 0.372
Ho1 0.382 0.763 0.550
Ho2 0.460 0.919 0.250
Ho3 0.382 0.763 0.950
Ho4 0.618 0.237 0.450
Ho5 0.540 0.081 0.750
Ho6 0.618 0.237 0.050
Pm1 0.735 0.471 0.250
Pm2 0.265 0.529 0.750
Pm3 0.924 0.847 0.094
Pm4 0.924 0.847 0.406
Pm5 0.076 0.153 0.594
Pm6 0.076 0.153 0.906

=====

3.
Below is a relaxed structure of Pm8PrHo4, with properties calculated at the PBE level.

**Raw total energy**: -0.16613 Ha/atom
**ΔE_f**: 179 meV per atom
**Space-group type**: C2/m

Cell lengths 7.365, 7.362, 10.296 Å; angles 90.00, 111.00, 119.99 degrees
Element x y z (fractional)
Ho1 0.000 0.000 0.000
Ho2 0.500 0.000 0.000
Ho3 0.000 0.500 0.000
Ho4 0.500 0.500 0.000
Pm1 0.503 0.751 0.703
Pm2 0.433 0.217 0.650
Pm3 0.952 0.751 0.703
Pm4 0.048 0.799 0.297
Pm5 0.567 0.783 0.350
Pm6 0.048 0.249 0.297
Pm7 0.497 0.249 0.297
Pm8 0.952 0.201 0.703
Pr1 0.000 0.500 0.500

=====

Question: Among the records above, which one has the highest ΔE_f?
Answer: Pm8PrHo4